A plane-wave DFT calculation with SCAN was carried out for ScCo2Br at its PBEsol-relaxed geometry.

Results
The excess energy over the best structure of this formula in the dataset comes out at 154.5 meV/atom. The calculation puts the total magnetization at 0.973 μB per atom.

Lattice parameters (Å, degrees): 3.0564 3.0564 7.9494 78.92 78.92 60.00
Closest atoms and distances in Å follow each position.
Fractional positions:
Sc 0.5000 0.5000 0.5000  6 Co 2.66
Co 0.2523 0.2523 0.2430  3 Br 2.58, 3 Sc 2.66
Co 0.7477 0.7477 0.7570  3 Br 2.58, 3 Sc 2.66
Br 0.0000 0.0000 0.0000  6 Co 2.58

---

A plane-wave DFT calculation with SCAN was carried out for ScCo2Br at its PBEsol-relaxed geometry.

Results
The excess energy over the best structure of this formula in the dataset comes out at 0.0 meV/atom. The calculation puts the total magnetization at 0.806 μB per atom.

Lattice parameters (Å, degrees): 3.0769 4.3476 5.0899 114.55 106.61 92.21
Closest atoms and distances in Å follow each position.
Fractional positions:
Sc 0.5000 0.0000 0.0000  4 Co 2.57, 4 Br 2.61-2.71
Br 0.0000 0.5000 0.0000  4 Co 2.57, 4 Sc 2.61-2.71
Co 0.5000 0.5000 0.5000  2 Sc 2.57, 2 Br 2.57, 4 Co 2.61-2.71
Co 0.0000 0.0000 0.5000  2 Br 2.57, 2 Sc 2.57, 4 Co 2.61-2.71

---

no.,E_form (uncorrected) (eV per atom),electronic total energy (eV/atom)
1,0.42,-16.657
2,0.27,-16.811